An optimized crystal structure of ZrScBr2N. Source: the Alexandria database, functional PBEsol. Values from VASP.

Output
The space-group type is P4/mmm. For the calculated volume, the calculation gives 27.523 A^3/atom. The calculation puts the electronic total energy at -23.5 eV for the cell shown. For the raw formation energy, the calculation gives 4.48 eV per formula unit.

The structure in Quantum ESPRESSO input format:
```
&SYSTEM
  ibrav = 0, nat = 5, ntyp = 4
/
ATOMIC_SPECIES
Br 79.90 Br.upf
N 14.01 N.upf
Zr 91.22 Zr.upf
Sc 44.96 Sc.upf
CELL_PARAMETERS angstrom
4.850 0.000 0.000
0.000 4.850 0.000
0.000 0.000 5.851
ATOMIC_POSITIONS crystal
Br 0.000 0.500 0.000
N 0.500 0.500 0.500
Br 0.500 0.000 0.000
Zr 0.000 0.000 0.500
Sc 0.000 0.000 0.000
```